[1]
{"formula": "BSeI3", "functional": "SCAN", "state": "single point on PBEsol structure", "e_form_raw_ev_per_fu": 5.099, "space_group": "Pm-3m", "magmom_total_mub_per_fu": 0.00, "final_energy_ev_per_cell": -132.6, "polymorph_energy_mev_per_atom": 0, "cell": [[4.988, 0.000, 0.000], [0.000, 4.988, 0.000], [0.000, 0.000, 4.988]], "species": ["B", "Se", "I", "I", "I"], "frac_coords": [[0.000, 0.000, 0.000], [0.500, 0.500, 0.500], [0.000, 0.000, 0.500], [0.000, 0.500, 0.000], [0.500, 0.000, 0.000]]}



[2]
{"formula": "BSe3I", "functional": "SCAN", "state": "single point on PBEsol structure", "e_form_raw_ev_per_fu": 8.478, "space_group": "Pm-3m", "magmom_total_mub_per_fu": 0.00, "final_energy_ev_per_cell": -95.9, "cell": [[5.323, 0.000, 0.000], [0.000, 5.323, 0.000], [0.000, 0.000, 5.323]], "species": ["B", "Se", "Se", "Se", "I"], "frac_coords": [[0.000, 0.000, 0.000], [0.000, 0.500, 0.500], [0.500, 0.000, 0.500], [0.500, 0.500, 0.000], [0.500, 0.500, 0.500]]}